1.
Cs2U3PaO12: relaxed, GGA-PBE.

Output
E_tot, eV/atom: -8.92
DOS at the Fermi energy, states/eV/f.u.: 8.0

a = 7.9913 Å, b = 7.9913 Å, c = 19.5681 Å
α = 90.00°, β = 90.00°, γ = 120.00°
Space group R-3m (No. 166, hexagonal axes)
Unique sites:
Cs  0.0000  0.0000  0.1240 [6 per cell]
U  0.0000  0.5000  0.0000 [9 per cell]
Pa  0.0000  0.0000  0.5000 [3 per cell]
O  0.0735  0.5367  0.1035 [18 per cell]
O  0.0804  0.5402  0.3532 [18 per cell]

=====

2.
AlAgPt2: relaxed, GGA-PBE.

Output
Formation energy from the elements, meV per atom: -523
DOS at the Fermi energy, states/eV/f.u.: 0.7
Distance to the lowest polymorph of the same formula, meV/atom: 131

a = 4.069 Å, b = 4.069 Å, c = 3.755 Å
α = 90.00°, β = 90.00°, γ = 90.00°
Space group P4/mmm (No. 123)
Unique sites:
Al  0.000  0.000  0.000 [1 per cell]
Ag  0.500  0.500  0.000 [1 per cell]
Pt  0.000  0.500  0.500 [2 per cell]

=====

3.
ZnCd2Ag6: relaxed, GGA-PBE.

Output
Formation energy from the elements, meV per atom: 35
DOS at the Fermi energy, states/eV/f.u.: 2.9
Distance to the lowest polymorph of the same formula, meV/atom: 4

a = 6.882 Å, b = 5.647 Å, c = 9.361 Å
α = 90.00°, β = 107.33°, γ = 90.00°
Space group P2_1/c (No. 14)
Unique sites:
Zn  0.000  0.000  0.000 [2 per cell]
Cd  0.405  0.044  0.254 [4 per cell]
Ag  0.039  0.128  0.723 [4 per cell]
Ag  0.254  0.139  0.504 [4 per cell]
Ag  0.338  0.659  0.445 [4 per cell]

=====

4.
BaLi2Ag: relaxed, GGA-PBE.

Output
Formation energy from the elements, meV per atom: 57
DOS at the Fermi energy, states/eV/f.u.: 4.7
Distance to the lowest polymorph of the same formula, meV/atom: 192

a = 7.616 Å, b = 7.616 Å, c = 7.616 Å
α = 90.00°, β = 90.00°, γ = 90.00°
Space group Fm-3m (No. 225)
Unique sites:
Ba  0.000  0.000  0.000 [4 per cell]
Li  0.250  0.250  0.250 [8 per cell]
Ag  0.000  0.000  0.500 [4 per cell]

=====

5.
Cs2Ga2H7: relaxed, GGA-PBE.

Output
E_tot, eV/atom: -2.93
DOS at the Fermi energy, states/eV/f.u.: 3.4

a = 4.879 Å, b = 13.215 Å, c = 6.386 Å
α = 90.00°, β = 92.45°, γ = 90.00°
Space group P2_1/c (No. 14)
Unique sites:
Cs  0.057  0.130  0.259 [4 per cell]
Ga  0.494  0.104  0.797 [4 per cell]
H  0.165  0.119  0.758 [4 per cell]
H  0.371  0.588  0.925 [4 per cell]
H  0.395  0.701  0.574 [4 per cell]
H  0.500  0.000  0.000 [2 per cell]

=====

6.
Ce3Cd2Ga4: relaxed, GGA-PBE.

Output
Formation energy from the elements, meV per atom: -425
DOS at the Fermi energy, states/eV/f.u.: 17.2

a = 10.949 Å, b = 4.631 Å, c = 8.892 Å
α = 90.00°, β = 111.64°, γ = 90.00°
Space group C2/m (No. 12)
Unique sites:
Ce  0.000  0.000  0.000 [2 per cell]
Ce  0.161  0.500  0.673 [4 per cell]
Cd  0.124  0.500  0.288 [4 per cell]
Ga  0.075  0.000  0.416 [4 per cell]
Ga  0.207  0.500  0.034 [4 per cell]

=====

7.
KSr2Cl: relaxed, GGA-PBE.

Output
DOS at the Fermi energy, states/eV/f.u.: 2.0
Distance to the lowest polymorph of the same formula, meV/atom: 419

a = 5.258 Å, b = 5.258 Å, c = 13.923 Å
α = 90.00°, β = 90.00°, γ = 90.00°
Space group I-4m2 (No. 119)
Unique sites:
K  0.000  0.000  0.000 [2 per cell]
Sr  0.000  0.000  0.500 [2 per cell]
Sr  0.000  0.500  0.750 [2 per cell]
Cl  0.000  0.500  0.250 [2 per cell]

=====

8.
ZrTl2Fe: relaxed, GGA-PBE.

Output
Formation energy from the elements, meV per atom: 611
DOS at the Fermi energy, states/eV/f.u.: 6.3
Distance to the lowest polymorph of the same formula, meV/atom: 417

a = 7.726 Å, b = 7.726 Å, c = 5.810 Å
α = 90.00°, β = 90.00°, γ = 90.00°
Space group I-42d (No. 122)
Unique sites:
Zr  0.000  0.000  0.000 [4 per cell]
Tl  0.210  0.250  0.625 [8 per cell]
Fe  0.000  0.000  0.500 [4 per cell]

=====

9.
Re4Ir: relaxed, GGA-PBE.

Output
Formation energy from the elements, meV per atom: 1727
DOS at the Fermi energy, states/eV/f.u.: 8.7
Distance to the lowest polymorph of the same formula, meV/atom: 1756

a = 5.732 Å, b = 5.732 Å, c = 5.732 Å
α = 90.00°, β = 90.00°, γ = 90.00°
Space group Im-3m (No. 229)
Unique sites:
Re  0.250  0.250  0.250 [8 per cell]
Ir  0.000  0.000  0.000 [2 per cell]

=====

10.
AcPmSmTl: relaxed, GGA-PBE.

Output
Formation energy from the elements, meV per atom: -166
DOS at the Fermi energy, states/eV/f.u.: 5.2
Distance to the lowest polymorph of the same formula, meV/atom: 0

a = 13.332 Å, b = 4.012 Å, c = 5.791 Å
α = 90.00°, β = 115.67°, γ = 90.00°
Space group Cm (No. 8)
Unique sites:
Ac  0.000  0.000  0.000 [2 per cell]
Pm  0.218  0.000  0.719 [2 per cell]
Sm  0.281  0.500  0.281 [2 per cell]
Tl  0.498  0.000  0.498 [2 per cell]

=====

11.
YBeTl: relaxed, GGA-PBE.

Output
Formation energy from the elements, meV per atom: -111
DOS at the Fermi energy, states/eV/f.u.: 1.7
Distance to the lowest polymorph of the same formula, meV/atom: 8

a = 4.4317 Å, b = 4.4317 Å, c = 3.7612 Å
α = 90.00°, β = 90.00°, γ = 120.00°
Space group P-6m2 (No. 187)
Unique sites:
Y  0.0000  0.0000  0.0000 [1 per cell]
Be  0.6667  0.3333  0.5000 [1 per cell]
Tl  0.3333  0.6667  0.5000 [1 per cell]

=====

12.
Ce3Pu2MoN6: relaxed, GGA-PBE.

Output
E_tot, eV/atom: -10.19
DOS at the Fermi energy, states/eV/f.u.: 10.1

a = 5.943 Å, b = 10.280 Å, c = 5.957 Å
α = 90.00°, β = 109.33°, γ = 90.00°
Space group C2/m (No. 12)
Unique sites:
Ce  0.000  0.000  0.000 [2 per cell]
Ce  0.000  0.335  0.000 [4 per cell]
Pu  0.000  0.167  0.500 [4 per cell]
Mo  0.000  0.500  0.500 [2 per cell]
N  0.236  0.340  0.729 [8 per cell]
N  0.244  0.500  0.268 [4 per cell]

=====

13.
TlTcAs2: relaxed, GGA-PBE.

Output
Formation energy from the elements, meV per atom: -79
DOS at the Fermi energy, states/eV/f.u.: 1.8
Distance to the lowest polymorph of the same formula, meV/atom: 44

a = 3.091 Å, b = 3.091 Å, c = 8.787 Å
α = 90.00°, β = 90.00°, γ = 90.00°
Space group P4/mmm (No. 123)
Unique sites:
Tl  0.000  0.000  0.000 [1 per cell]
Tc  0.000  0.000  0.500 [1 per cell]
As  0.500  0.500  0.330 [2 per cell]

=====

14.
TlPPb: relaxed, GGA-PBE.

Output
Formation energy from the elements, meV per atom: 53
DOS at the Fermi energy, states/eV/f.u.: 0.9
Distance to the lowest polymorph of the same formula, meV/atom: 0

a = 4.1851 Å, b = 4.1851 Å, c = 5.9027 Å
α = 90.00°, β = 90.00°, γ = 120.00°
Space group P3m1 (No. 156)
Unique sites:
Tl  0.0000  0.0000  0.0000 [1 per cell]
P  0.6667  0.3333  0.2949 [1 per cell]
Pb  0.3333  0.6667  0.5345 [1 per cell]

=====

15.
Pr2NpTl3Se6: relaxed, GGA-PBE.

Output
E_tot, eV/atom: -5.42
DOS at the Fermi energy, states/eV/f.u.: 6.2

a = 7.489 Å, b = 12.970 Å, c = 8.124 Å
α = 90.00°, β = 107.89°, γ = 90.00°
Space group C2/m (No. 12)
Unique sites:
Pr  0.000  0.167  0.000 [4 per cell]
Np  0.000  0.500  0.000 [2 per cell]
Tl  0.000  0.000  0.500 [2 per cell]
Tl  0.000  0.333  0.500 [4 per cell]
Se  0.233  0.337  0.210 [8 per cell]
Se  0.244  0.000  0.211 [4 per cell]

=====

16.
Pa3MnS7: relaxed, GGA-PBE.

Output
E_tot, eV/atom: -7.41
DOS at the Fermi energy, states/eV/f.u.: 13.0

a = 9.208 Å, b = 12.619 Å, c = 8.747 Å
α = 90.00°, β = 90.00°, γ = 90.00°
Space group Cmcm (No. 63)
Unique sites:
Pa  0.000  0.000  0.000 [4 per cell]
Pa  0.225  0.275  0.250 [8 per cell]
Mn  0.000  0.500  0.000 [4 per cell]
S  0.000  0.138  0.250 [4 per cell]
S  0.000  0.142  0.750 [4 per cell]
S  0.000  0.418  0.250 [4 per cell]
S  0.224  0.378  0.532 [16 per cell]

=====

17.
TaPb2Se: relaxed, GGA-PBE.

Output
E_tot, eV/atom: -5.12
DOS at the Fermi energy, states/eV/f.u.: 4.1

a = 3.372 Å, b = 5.266 Å, c = 5.363 Å
α = 90.00°, β = 90.00°, γ = 90.00°
Space group Pmmm (No. 47)
Unique sites:
Ta  0.000  0.000  0.000 [1 per cell]
Pb  0.000  0.500  0.500 [1 per cell]
Pb  0.500  0.500  0.000 [1 per cell]
Se  0.500  0.000  0.500 [1 per cell]

=====

18.
La2AlPd2Pt5: relaxed, GGA-PBE.

Output
Formation energy from the elements, meV per atom: -832
DOS at the Fermi energy, states/eV/f.u.: 3.7

a = 9.657 Å, b = 9.657 Å, c = 4.071 Å
α = 90.00°, β = 90.00°, γ = 90.00°
Space group P4/mbm (No. 127)
Unique sites:
La  0.173  0.327  0.000 [4 per cell]
Al  0.000  0.000  0.000 [2 per cell]
Pd  0.130  0.630  0.000 [4 per cell]
Pt  0.000  0.500  0.500 [2 per cell]
Pt  0.053  0.803  0.500 [8 per cell]

=====

19.
Zn2PBr: relaxed, GGA-PBE.

Output
DOS at the Fermi energy, states/eV/f.u.: 1.2
Distance to the lowest polymorph of the same formula, meV/atom: 477

a = 3.352 Å, b = 3.445 Å, c = 6.796 Å
α = 90.00°, β = 91.14°, γ = 90.00°
Space group P2/m (No. 10)
Unique sites:
Zn  0.063  0.000  0.311 [2 per cell]
P  0.500  0.500  0.500 [1 per cell]
Br  0.000  0.500  0.000 [1 per cell]

=====

20.
ZrGa6Pd: relaxed, GGA-PBE.

Output
Formation energy from the elements, meV per atom: -308
DOS at the Fermi energy, states/eV/f.u.: 2.8

a = 6.700 Å, b = 9.747 Å, c = 4.291 Å
α = 90.00°, β = 90.00°, γ = 90.00°
Space group Cmmm (No. 65)
Unique sites:
Zr  0.000  0.000  0.000 [2 per cell]
Ga  0.000  0.212  0.500 [4 per cell]
Ga  0.206  0.500  0.500 [4 per cell]
Ga  0.250  0.250  0.000 [4 per cell]
Pd  0.000  0.500  0.000 [2 per cell]